# 1
# Tb5Cd4Pt PBE-GGA relaxed
data_Tb5Cd4Pt
_chemical_formula_sum 'Tb5 Cd4 Pt1'
_cell_length_a 3.6844
_cell_length_b 3.6844
_cell_length_c 18.7057
_cell_angle_alpha 90.00
_cell_angle_beta 90.00
_cell_angle_gamma 90.00
_space_group_name_H-M_alt 'P 1'
_space_group_IT_number 1
loop_
_space_group_symop_operation_xyz
'x,y,z'
loop_
_atom_site_label
_atom_site_type_symbol
_atom_site_fract_x
_atom_site_fract_y
_atom_site_fract_z
Tb1 Tb 0.0000 0.0000 0.0000
Tb2 Tb 0.0000 0.0000 0.2068
Tb3 Tb 0.0000 0.0000 0.4134
Tb4 Tb 0.0000 0.0000 0.5866
Tb5 Tb 0.0000 0.0000 0.7932
Cd1 Cd 0.5000 0.5000 0.1033
Cd2 Cd 0.5000 0.5000 0.3065
Cd3 Cd 0.5000 0.5000 0.6935
Cd4 Cd 0.5000 0.5000 0.8967
Pt1 Pt 0.5000 0.5000 0.5000
# DOS at the Fermi energy, states/eV/atom: 0.909
# Space-group type: P4/mmm, No. 123
# Final energy, eV/atom: -3.79
# Energy of formation, eV/atom: -0.503

# 2
# TiVSN2 PBE-GGA relaxed
data_TiVSN2
_chemical_formula_sum 'Ti1 V1 S1 N2'
_cell_length_a 3.8444
_cell_length_b 3.8444
_cell_length_c 4.8900
_cell_angle_alpha 90.00
_cell_angle_beta 90.00
_cell_angle_gamma 90.00
_space_group_name_H-M_alt 'P 1'
_space_group_IT_number 1
loop_
_space_group_symop_operation_xyz
'x,y,z'
loop_
_atom_site_label
_atom_site_type_symbol
_atom_site_fract_x
_atom_site_fract_y
_atom_site_fract_z
Ti1 Ti 0.0000 0.0000 0.0000
V1 V 0.5000 0.5000 0.5000
S1 S 0.0000 0.0000 0.5000
N1 N 0.0000 0.5000 0.0000
N2 N 0.5000 0.0000 0.0000
# DOS at the Fermi energy, states/eV/atom: 0.942
# Distance to the lowest polymorph of the same formula, kJ/mol of atoms: 25.1
# Space-group type: P4/mmm, No. 123
# Final energy, eV/atom: -7.37
# Formation energy without anion corrections, eV/atom: 0.1868

# 3
# Pm2Ga8Co PBE-GGA relaxed
data_Pm2Ga8Co
_chemical_formula_sum 'Pm2 Ga8 Co1'
_cell_length_a 4.2943
_cell_length_b 4.2943
_cell_length_c 11.3056
_cell_angle_alpha 90.00
_cell_angle_beta 90.00
_cell_angle_gamma 90.00
_space_group_name_H-M_alt 'P 1'
_space_group_IT_number 1
loop_
_space_group_symop_operation_xyz
'x,y,z'
loop_
_atom_site_label
_atom_site_type_symbol
_atom_site_fract_x
_atom_site_fract_y
_atom_site_fract_z
Pm1 Pm 0.0000 0.0000 0.1960
Pm2 Pm 0.0000 0.0000 0.8040
Ga1 Ga 0.0000 0.5000 0.0000
Ga2 Ga 0.0000 0.5000 0.3868
Ga3 Ga 0.0000 0.5000 0.6132
Ga4 Ga 0.5000 0.0000 0.0000
Ga5 Ga 0.5000 0.0000 0.3868
Ga6 Ga 0.5000 0.0000 0.6132
Ga7 Ga 0.5000 0.5000 0.1944
Ga8 Ga 0.5000 0.5000 0.8056
Co1 Co 0.0000 0.0000 0.5000
# DOS at the Fermi energy, states/eV/atom: 0.456
# Space-group type: P4/mmm, No. 123
# Final energy, eV/atom: -4.19
# Energy of formation, eV/atom: -0.482

# 4
# Li5AgSn PBE-GGA relaxed
data_Li5AgSn
_chemical_formula_sum 'Li10 Ag2 Sn2'
_cell_length_a 5.1582
_cell_length_b 5.1582
_cell_length_c 9.9669
_cell_angle_alpha 101.99
_cell_angle_beta 101.99
_cell_angle_gamma 98.38
_space_group_name_H-M_alt 'P 1'
_space_group_IT_number 1
loop_
_space_group_symop_operation_xyz
'x,y,z'
loop_
_atom_site_label
_atom_site_type_symbol
_atom_site_fract_x
_atom_site_fract_y
_atom_site_fract_z
Li1 Li 0.0643 0.2684 0.0353
Li2 Li 0.1257 0.8743 0.7500
Li3 Li 0.2684 0.0643 0.5353
Li4 Li 0.3473 0.4319 0.8470
Li5 Li 0.4319 0.3473 0.3470
Li6 Li 0.5681 0.6527 0.6530
Li7 Li 0.6527 0.5681 0.1530
Li8 Li 0.7316 0.9357 0.4647
Li9 Li 0.8743 0.1257 0.2500
Li10 Li 0.9357 0.7316 0.9647
Ag1 Ag 0.2303 0.7697 0.2500
Ag2 Ag 0.7697 0.2303 0.7500
Sn1 Sn 0.0000 0.5000 0.5000
Sn2 Sn 0.5000 0.0000 0.0000
# DOS at the Fermi energy, states/eV/atom: 0.374
# Space-group type: C2/c, No. 15
# Final energy, eV/atom: -2.57
# Energy of formation, eV/atom: -0.221

Q: Among the records above, which one has the highest DOS at the Fermi energy?
A: TiVSN2

Q: Which of these has the lowest DOS at the Fermi energy?
A: Li5AgSn

Repeat the first record exactly.
# Tb5Cd4Pt PBE-GGA relaxed
data_Tb5Cd4Pt
_chemical_formula_sum 'Tb5 Cd4 Pt1'
_cell_length_a 3.6844
_cell_length_b 3.6844
_cell_length_c 18.7057
_cell_angle_alpha 90.00
_cell_angle_beta 90.00
_cell_angle_gamma 90.00
_space_group_name_H-M_alt 'P 1'
_space_group_IT_number 1
loop_
_space_group_symop_operation_xyz
'x,y,z'
loop_
_atom_site_label
_atom_site_type_symbol
_atom_site_fract_x
_atom_site_fract_y
_atom_site_fract_z
Tb1 Tb 0.0000 0.0000 0.0000
Tb2 Tb 0.0000 0.0000 0.2068
Tb3 Tb 0.0000 0.0000 0.4134
Tb4 Tb 0.0000 0.0000 0.5866
Tb5 Tb 0.0000 0.0000 0.7932
Cd1 Cd 0.5000 0.5000 0.1033
Cd2 Cd 0.5000 0.5000 0.3065
Cd3 Cd 0.5000 0.5000 0.6935
Cd4 Cd 0.5000 0.5000 0.8967
Pt1 Pt 0.5000 0.5000 0.5000
# DOS at the Fermi energy, states/eV/atom: 0.909
# Space-group type: P4/mmm, No. 123
# Final energy, eV/atom: -3.79
# Energy of formation, eV/atom: -0.503